## CsBa3Tl (PBE)

Data for a relaxed CsBa3Tl crystal.

Its density of states at the Fermi level is 5.3 states/eV/f.u. The distance to the lowest polymorph of the same formula is 0.00 kcal/mol of atoms. The calculation puts the total energy at -1.85 eV per atom. The value obtained for the total magnetization is 0.0000 μB per atom. Its energy relative to the elements is -53 meV/atom. The value obtained for the calculated density is 3.7 g cm⁻³.

The structure belongs to space group Pm-3m (No. 221); the cell edges are 6.9818, 6.9818 and 6.9818 Å and the angles 90.00°, 90.00° and 90.00°. The asymmetric unit holds Cs at (0.0000, 0.0000, 0.0000), Ba at (0.0000, 0.5000, 0.5000) and Tl at (0.5000, 0.5000, 0.5000).

=====

## CsBa3Tl (PBE)

Data for a relaxed CsBa3Tl crystal.

Its density of states at the Fermi level is 3.7 states/eV/f.u. The distance to the lowest polymorph of the same formula is 15.70 kcal/mol of atoms. The calculation puts the total energy at -1.17 eV per atom. The value obtained for the total magnetization is 0.0000 μB per atom. Its energy relative to the elements is 628 meV/atom. The value obtained for the calculated density is 4.5 g cm⁻³.

The structure belongs to space group Pm-3m (No. 221); the cell edges are 6.5188, 6.5188 and 6.5188 Å and the angles 90.00°, 90.00° and 90.00°. The asymmetric unit holds Cs at (0.0000, 0.0000, 0.0000), Ba at (0.0000, 0.0000, 0.5000) and Tl at (0.5000, 0.5000, 0.5000).

=====

## CsBaTl2 (PBE)

Data for a relaxed CsBaTl2 crystal.

Its density of states at the Fermi level is 8.4 states/eV/f.u. The distance to the lowest polymorph of the same formula is 6.73 kcal/mol of atoms. The calculation puts the total energy at -1.78 eV per atom. The value obtained for the total magnetization is 0.0003 μB per atom. Its energy relative to the elements is 100 meV/atom. The value obtained for the calculated density is 5.7 g cm⁻³.

The structure belongs to space group I-42d (No. 122); the cell edges are 10.0490, 10.0490 and 7.8508 Å and the angles 90.00°, 90.00° and 90.00°. The asymmetric unit holds Cs at (0.0000, 0.0000, 0.0000), Ba at (0.0000, 0.0000, 0.5000) and Tl at (0.2210, 0.7500, 0.6250).

=====

## Cs2BaTl4 (PBE)

Data for a relaxed Cs2BaTl4 crystal.

Its density of states at the Fermi level is 5.0 states/eV/f.u. The calculation puts the total energy at -2.03 eV per atom. The value obtained for the total magnetization is 0.0000 μB per atom. Its energy relative to the elements is -160 meV/atom. The value obtained for the calculated density is 6.8 g cm⁻³.

The structure belongs to space group C2/c (No. 15); the cell edges are 18.5131, 6.8176 and 9.3987 Å and the angles 90.00°, 93.69° and 90.00°. The asymmetric unit holds Cs at (0.2158, 0.0928, 0.3264), Ba at (0.0000, 0.1977, 0.2500), Tl at (0.0679, 0.2749, 0.6216) and Tl at (0.1064, 0.3472, 0.9468).

=====

## Cs2BaTl2 (PBE)

Data for a relaxed Cs2BaTl2 crystal.

Its density of states at the Fermi level is 6.4 states/eV/f.u. The distance to the lowest polymorph of the same formula is 0.00 kcal/mol of atoms. The calculation puts the total energy at -1.69 eV per atom. The value obtained for the total magnetization is 0.1429 μB per atom. Its energy relative to the elements is -19 meV/atom. The value obtained for the calculated density is 4.9 g cm⁻³.

The structure belongs to space group P4/mbm (No. 127); the cell edges are 9.0899, 9.0899 and 6.7185 Å and the angles 90.00°, 90.00° and 90.00°. The asymmetric unit holds Cs at (0.1776, 0.3224, 0.0000), Ba at (0.0000, 0.0000, 0.5000) and Tl at (0.1156, 0.6156, 0.5000).

=====

## CsBaTl6 (PBE)

Data for a relaxed CsBaTl6 crystal.

Its density of states at the Fermi level is 4.0 states/eV/f.u. The calculation puts the total energy at -2.28 eV per atom. The value obtained for the total magnetization is 0.0000 μB per atom. Its energy relative to the elements is -155 meV/atom. The value obtained for the calculated density is 8.2 g cm⁻³.

The structure belongs to space group Amm2 (No. 38); the cell edges are 5.3430, 8.1165 and 13.9041 Å and the angles 90.00°, 90.00° and 90.00°. The asymmetric unit holds Cs at (0.0000, 0.0000, 0.0000), Ba at (0.5000, 0.0000, 0.6703), Tl at (0.0000, 0.0000, 0.4797), Tl at (0.0000, 0.2122, 0.2635), Tl at (0.5000, 0.0000, 0.1943) and Tl at (0.5000, 0.2081, 0.4060).

=====

## Cs2BaTl2 (PBE)

Data for a relaxed Cs2BaTl2 crystal.

Its density of states at the Fermi level is 6.9 states/eV/f.u. The distance to the lowest polymorph of the same formula is 0.96 kcal/mol of atoms. The calculation puts the total energy at -1.65 eV per atom. The value obtained for the total magnetization is 0.0000 μB per atom. Its energy relative to the elements is 23 meV/atom. The value obtained for the calculated density is 5.2 g cm⁻³.

The structure belongs to space group I4/mmm (No. 139); the cell edges are 5.4783, 5.4783 and 17.4138 Å and the angles 90.00°, 90.00° and 90.00°. The asymmetric unit holds Cs at (0.0000, 0.5000, 0.2500), Ba at (0.0000, 0.0000, 0.0000) and Tl at (0.0000, 0.0000, 0.4150).

=====

## CsBa2Tl8 (PBE)

Data for a relaxed CsBa2Tl8 crystal.

Its density of states at the Fermi level is 7.5 states/eV/f.u. The calculation puts the total energy at -2.34 eV per atom. The value obtained for the total magnetization is 0.0000 μB per atom. Its energy relative to the elements is -188 meV/atom. The value obtained for the calculated density is 8.3 g cm⁻³.

The structure belongs to space group C2/m (No. 12); the cell edges are 8.9251, 18.5498 and 5.9781 Å and the angles 90.00°, 124.56° and 90.00°. The asymmetric unit holds Cs at (0.0000, 0.0000, 0.0000), Ba at (0.0000, 0.3170, 0.5000), Tl at (0.0000, 0.2066, 0.0000), Tl at (0.0713, 0.5000, 0.3011) and Tl at (0.2281, 0.1389, 0.7538).